*one*
A plane-wave DFT calculation with PBE was carried out for a geometry-optimized La6Ag2Au structure.

a b c (Å): 6.545 8.217 10.784
angles (deg): 90.00 91.54 90.00
Atoms (fractional coordinates):
La: 0.846 0.949 0.236
La: 0.850 0.652 0.546
La: 0.865 0.711 0.937
La: 0.635 0.211 0.563
La: 0.650 0.152 0.954
La: 0.654 0.449 0.264
La: 0.154 0.051 0.764
La: 0.150 0.348 0.454
La: 0.135 0.289 0.063
La: 0.365 0.789 0.437
La: 0.350 0.848 0.046
La: 0.346 0.551 0.736
Ag: 0.904 0.390 0.773
Ag: 0.596 0.890 0.727
Ag: 0.404 0.110 0.273
Ag: 0.096 0.610 0.227
Au: 0.500 0.500 0.000
Au: 0.000 0.000 0.500

V, Å³ per cell: 579.7
Symmetry: P2_1/c, No. 14
Size of the total moment, μB/atom: 0.000



*two*
A plane-wave DFT calculation with PBE was carried out for a geometry-optimized La6Ag2Au structure.

a b c (Å): 5.550 5.550 10.297
angles (deg): 90.00 90.00 120.00
Atoms (fractional coordinates):
La: 0.667 0.333 0.989
La: 0.333 0.667 0.011
La: 0.000 0.000 0.188
La: 0.333 0.667 0.394
La: 0.000 0.000 0.812
La: 0.667 0.333 0.606
Ag: 0.333 0.667 0.710
Ag: 0.667 0.333 0.290
Au: 0.000 0.000 0.500

V, Å³ per cell: 274.7
Symmetry: P-3m1, No. 164
Size of the total moment, μB/atom: 0.000



List of relative energies, unit meV/atom: *one* 33; *two* 0



*one*
A plane-wave DFT calculation with PBE was carried out for a geometry-optimized La6Ag3Au structure.

a b c (Å): 5.149 9.662 12.637
angles (deg): 107.46 90.00 90.00
Atoms (fractional coordinates):
La: 0.250 0.531 0.108
La: 0.750 0.469 0.892
La: 0.250 0.124 0.140
La: 0.750 0.876 0.860
La: 0.250 0.655 0.727
La: 0.750 0.345 0.273
La: 0.250 0.300 0.476
La: 0.750 0.700 0.524
La: 0.250 0.896 0.372
La: 0.750 0.104 0.628
La: 0.250 0.128 0.868
La: 0.750 0.872 0.132
Ag: 0.250 0.554 0.361
Ag: 0.750 0.446 0.639
Ag: 0.250 0.335 0.729
Ag: 0.750 0.665 0.271
Ag: 0.250 0.773 0.982
Ag: 0.750 0.227 0.018
Au: 0.250 0.911 0.628
Au: 0.750 0.089 0.372

V, Å³ per cell: 599.7
Symmetry: P2_1/m, No. 11
Size of the total moment, μB/atom: 0.000



*two*
A plane-wave DFT calculation with PBE was carried out for a geometry-optimized La6Ag3Au structure.

a b c (Å): 7.703 7.767 11.120
angles (deg): 90.00 82.38 90.00
Atoms (fractional coordinates):
La: 0.683 0.166 0.924
La: 0.628 0.156 0.587
La: 0.676 0.491 0.239
La: 0.324 0.509 0.761
La: 0.372 0.844 0.413
La: 0.317 0.834 0.076
La: 0.183 0.334 0.424
La: 0.128 0.344 0.087
La: 0.176 0.009 0.739
La: 0.824 0.991 0.261
La: 0.872 0.656 0.913
La: 0.817 0.666 0.576
Ag: 0.553 0.849 0.785
Ag: 0.500 0.500 0.000
Ag: 0.447 0.151 0.215
Ag: 0.053 0.651 0.285
Ag: 0.000 0.000 0.500
Ag: 0.947 0.349 0.715
Au: 0.500 0.500 0.500
Au: 0.000 0.000 0.000

V, Å³ per cell: 659.4
Symmetry: P2_1/c, No. 14
Size of the total moment, μB/atom: 0.000



List of relative energies, unit meV/atom: *one* 0; *two* 124



*one*
A plane-wave DFT calculation with PBE was carried out for a geometry-optimized La3AgAu structure.

a b c (Å): 4.872 6.592 10.192
angles (deg): 96.73 89.95 111.72
Atoms (fractional coordinates):
La: 0.434 0.865 0.154
La: 0.147 0.294 0.586
La: 0.856 0.715 0.799
La: 0.144 0.285 0.201
La: 0.566 0.135 0.846
La: 0.853 0.706 0.414
Ag: 0.769 0.536 0.087
Ag: 0.231 0.464 0.913
Au: 0.590 0.179 0.407
Au: 0.410 0.821 0.593

V, Å³ per cell: 301.6
Symmetry: P-1, No. 2
Size of the total moment, μB/atom: 0.000



*two*
A plane-wave DFT calculation with PBE was carried out for a geometry-optimized La3AgAu structure.

a b c (Å): 5.401 5.412 10.367
angles (deg): 90.00 74.90 90.00
Atoms (fractional coordinates):
La: 0.759 0.250 0.130
La: 0.388 0.250 0.873
La: 0.574 0.250 0.502
La: 0.260 0.750 0.127
La: 0.889 0.750 0.870
La: 0.075 0.750 0.498
Ag: 0.478 0.750 0.692
Ag: 0.170 0.250 0.308
Au: 0.668 0.750 0.313
Au: 0.981 0.250 0.687

V, Å³ per cell: 292.6
Symmetry: Cmcm, No. 63
Size of the total moment, μB/atom: 0.000



*three*
A plane-wave DFT calculation with PBE was carried out for a geometry-optimized La3AgAu structure.

a b c (Å): 5.807 5.807 5.807
angles (deg): 90.00 90.00 90.00
Atoms (fractional coordinates):
Au: 0.000 0.000 0.000
Ag: 0.500 0.500 0.500
La: 0.000 0.500 0.000
La: 0.000 0.000 0.500
La: 0.500 0.000 0.000

V, Å³ per cell: 195.8
Symmetry: Pm-3m, No. 221
Size of the total moment, μB/atom: 0.000



List of relative energies, unit meV/atom: *one* 42; *two* 0; *three* 460